{
  "formula": "Sc3GaPt",
  "functional": "SCAN",
  "state": "PBEsol geometry",
  "cell": [[4.9926, 0.0000, 0.0000], [0.0000, 4.9926, 0.0000], [0.0000, 0.0000, 4.9926]],
  "species": ["Sc", "Sc", "Sc", "Ga", "Pt"],
  "frac_coords": [[0.0000, 0.0000, 0.5000], [0.0000, 0.5000, 0.0000], [0.5000, 0.0000, 0.0000], [0.5000, 0.5000, 0.5000], [0.0000, 0.0000, 0.0000]],
  "vol_a3_per_cell": 124,
  "dos_ef_per_ev_cell": 7.09,
  "e_form_ev_per_atom": -0.424,
  "sg": "Pm-3m (221)"
}



{
  "formula": "Be8In",
  "functional": "SCAN",
  "state": "PBEsol geometry",
  "cell": [[-3.6352, 3.6352, 1.7012], [3.6352, -3.6352, 1.7012], [3.6352, 3.6352, -1.7012]],
  "species": ["Be", "Be", "Be", "Be", "Be", "Be", "Be", "Be", "In"],
  "frac_coords": [[0.0000, 0.3498, 0.3498], [0.0000, 0.6502, 0.6502], [0.3135, 0.3135, 0.6270], [0.3135, 0.6865, 0.0000], [0.3498, 0.0000, 0.3498], [0.6502, 0.0000, 0.6502], [0.6865, 0.3135, 0.0000], [0.6865, 0.6865, 0.3730], [0.0000, 0.0000, 0.0000]],
  "vol_a3_per_cell": 90,
  "dos_ef_per_ev_cell": 2.77,
  "e_form_ev_per_atom": 0.345,
  "sg": "I4/mmm (139)"
}



{
  "formula": "CaTlCl2",
  "functional": "SCAN",
  "state": "PBEsol geometry",
  "cell": [[4.8003, 0.0000, 0.0000], [0.0000, 4.8003, 0.0000], [0.0000, 0.0000, 4.1959]],
  "species": ["Ca", "Tl", "Cl", "Cl"],
  "frac_coords": [[0.0000, 0.0000, 0.0000], [0.5000, 0.5000, 0.0000], [0.0000, 0.5000, 0.5000], [0.5000, 0.0000, 0.5000]],
  "relative_energy_mev_per_atom": 183,
  "vol_a3_per_cell": 97,
  "dos_ef_per_ev_cell": 2.21,
  "raw_formation_energy_ev_per_atom": -1.32,
  "sg": "P4/mmm (123)"
}



{
  "formula": "InOs2Cl",
  "functional": "SCAN",
  "state": "PBEsol geometry",
  "cell": [[3.0428, 0.0000, 0.0000], [0.0000, 3.0428, 0.0000], [0.0000, 0.0000, 6.6007]],
  "species": ["In", "Os", "Os", "Cl"],
  "frac_coords": [[0.0000, 0.0000, 0.0000], [0.5000, 0.5000, 0.2743], [0.5000, 0.5000, 0.7257], [0.0000, 0.0000, 0.5000]],
  "relative_energy_mev_per_atom": 410,
  "vol_a3_per_cell": 61,
  "dos_ef_per_ev_cell": 2.32,
  "raw_formation_energy_ev_per_atom": 1.30,
  "sg": "P4/mmm (123)"
}



{
  "formula": "MgAuCl2",
  "functional": "SCAN",
  "state": "PBEsol geometry",
  "cell": [[3.2267, 0.0000, 0.0000], [0.0000, 3.2267, 0.0000], [0.0000, 0.0000, 7.6943]],
  "species": ["Mg", "Au", "Cl", "Cl"],
  "frac_coords": [[0.0000, 0.0000, 0.0000], [0.5000, 0.5000, 0.2329], [0.0000, 0.0000, 0.4373], [0.5000, 0.5000, 0.8239]],
  "relative_energy_mev_per_atom": 74,
  "vol_a3_per_cell": 80,
  "dos_ef_per_ev_cell": 1.22,
  "raw_formation_energy_ev_per_atom": -0.75,
  "sg": "P4mm (99)"
}



{
  "formula": "CaRe2Br",
  "functional": "SCAN",
  "state": "PBEsol geometry",
  "cell": [[1.8548, 1.0709, 7.7445], [-1.8548, 1.0709, 7.7445], [0.0000, -2.1418, 7.7445]],
  "species": ["Ca", "Re", "Re", "Br"],
  "frac_coords": [[0.0000, 0.0000, 0.0000], [0.4770, 0.4770, 0.4770], [0.7647, 0.7647, 0.7647], [0.2457, 0.2457, 0.2457]],
  "relative_energy_mev_per_atom": 0,
  "vol_a3_per_cell": 92,
  "dos_ef_per_ev_cell": 2.98,
  "raw_formation_energy_ev_per_atom": 0.10,
  "sg": "R3m (160)"
}